A plane-wave DFT calculation with GGA-PBE was carried out for a relaxed La5WN6 crystal.

Geometry as POSCAR:
```
La5WN6
1.0
3.107 -5.381 0.000
3.107 5.381 0.000
-2.032 0.000 5.825
La W N
5 1 6
direct
0.000 0.000 0.000
0.167 0.833 0.500
0.336 0.664 0.000
0.664 0.336 0.000
0.833 0.167 0.500
0.500 0.500 0.500
0.148 0.429 0.289
0.290 0.290 0.723
0.429 0.148 0.289
0.571 0.852 0.711
0.710 0.710 0.277
0.852 0.571 0.711
```

Values from the calculation:
Formation energy from raw total energies ... -107.84 kJ/mol of atoms

=====

A plane-wave DFT calculation with GGA-PBE was carried out for a relaxed AcLa2Rh crystal.

Geometry as POSCAR:
```
AcLa2Rh
1.0
7.514 0.000 0.000
0.000 10.402 0.000
0.000 0.000 6.698
Ac La Rh
4 8 4
direct
0.036 0.250 0.147
0.464 0.750 0.647
0.536 0.250 0.353
0.964 0.750 0.853
0.168 0.070 0.668
0.168 0.430 0.668
0.332 0.570 0.168
0.332 0.930 0.168
0.668 0.070 0.832
0.668 0.430 0.832
0.832 0.570 0.332
0.832 0.930 0.332
0.120 0.750 0.403
0.380 0.250 0.903
0.620 0.750 0.097
0.880 0.250 0.597
```

Values from the calculation:
ΔE_f ... -450 meV/atom

=====

A plane-wave DFT calculation with GGA-PBE was carried out for a relaxed Ti2PH3 crystal.

Geometry as POSCAR:
```
Ti2PH3
1.0
6.036 -1.580 0.000
6.036 1.580 0.000
-2.351 0.000 5.565
Ti P H
4 2 6
direct
0.032 0.032 0.257
0.295 0.295 0.278
0.705 0.705 0.722
0.968 0.968 0.743
0.376 0.376 0.947
0.624 0.624 0.053
0.102 0.102 0.653
0.195 0.195 0.476
0.427 0.427 0.565
0.573 0.573 0.435
0.805 0.805 0.524
0.898 0.898 0.347
```

Values from the calculation:
Uncorrected energy ... -5.7728 eV per atom

=====

A plane-wave DFT calculation with GGA-PBE was carried out for a relaxed La5PrDyHo2 crystal.

Geometry as POSCAR:
```
La5PrDyHo2
1.0
2.762 -10.878 0.000
2.762 10.878 0.000
0.000 0.000 10.708
La Pr Dy Ho
10 2 2 4
direct
0.000 0.000 0.000
0.000 0.000 0.500
0.122 0.878 0.750
0.220 0.780 0.059
0.220 0.780 0.441
0.500 0.500 0.250
0.500 0.500 0.750
0.780 0.220 0.559
0.780 0.220 0.941
0.878 0.122 0.250
0.285 0.715 0.750
0.715 0.285 0.250
0.100 0.900 0.250
0.900 0.100 0.750
0.387 0.613 0.501
0.387 0.613 0.999
0.613 0.387 0.001
0.613 0.387 0.499
```

Values from the calculation:
ΔE_f ... 126 meV/atom

=====

A plane-wave DFT calculation with GGA-PBE was carried out for a relaxed Na2CdSbBr6 crystal.

Geometry as POSCAR:
```
Na2CdSbBr6
1.0
7.172 0.000 0.000
3.258 7.023 0.000
3.350 1.571 6.988
Na Cd Sb Br
2 1 1 6
direct
0.000 0.000 0.000
0.499 0.473 0.491
0.219 0.046 0.444
0.652 0.649 0.937
0.091 0.747 0.715
0.276 0.607 0.188
0.345 0.134 0.662
0.615 0.853 0.225
0.717 0.368 0.778
0.950 0.240 0.251
```

Values from the calculation:
Formation energy from raw total energies ... -90.52 kJ/mol of atoms

=====

A plane-wave DFT calculation with GGA-PBE was carried out for a relaxed Mg3Tc crystal.

Geometry as POSCAR:
```
Mg3Tc
1.0
5.291 0.000 0.000
0.000 5.291 0.000
0.000 0.000 5.291
Mg Tc
6 2
direct
0.000 0.250 0.500
0.000 0.750 0.500
0.250 0.500 0.000
0.500 0.000 0.250
0.500 0.000 0.750
0.750 0.500 0.000
0.000 0.000 0.000
0.500 0.500 0.500
```

Values from the calculation:
ΔE_f ... 334 meV/atom

=====

A plane-wave DFT calculation with GGA-PBE was carried out for a relaxed Rb2NaF crystal.

Geometry as POSCAR:
```
Rb2NaF
1.0
7.283 0.000 0.000
0.000 4.205 0.000
-2.446 0.000 10.546
Rb Na F
4 2 2
direct
0.000 0.000 0.000
0.229 0.000 0.689
0.500 0.500 0.000
0.729 0.500 0.689
0.281 0.500 0.345
0.781 0.000 0.345
0.115 0.500 0.845
0.615 0.000 0.845
```

Values from the calculation:
Formation energy from raw total energies ... -120.76 kJ/mol of atoms

=====

A plane-wave DFT calculation with GGA-PBE was carried out for a relaxed LaTb5Er2 crystal.

Geometry as POSCAR:
```
LaTb5Er2
1.0
7.157 0.000 0.000
0.000 14.315 0.000
0.000 0.000 5.036
La Tb Er
2 10 4
direct
0.000 0.000 0.000
0.500 0.500 0.000
0.000 0.500 0.000
0.002 0.252 0.000
0.247 0.626 0.500
0.253 0.126 0.500
0.498 0.752 0.000
0.500 0.000 0.000
0.502 0.248 0.000
0.747 0.874 0.500
0.753 0.374 0.500
0.998 0.748 0.000
0.250 0.374 0.500
0.250 0.874 0.500
0.750 0.126 0.500
0.750 0.626 0.500
```

Values from the calculation:
ΔE_f ... 23 meV/atom

=====

A plane-wave DFT calculation with GGA-PBE was carried out for a relaxed TlIn3Se crystal.

Geometry as POSCAR:
```
TlIn3Se
1.0
5.673 0.000 0.000
0.000 5.673 0.000
0.000 0.000 5.673
Tl In Se
1 3 1
direct
0.000 0.000 0.000
0.000 0.500 0.500
0.500 0.000 0.500
0.500 0.500 0.000
0.500 0.500 0.500
```

Values from the calculation:
Formation energy from raw total energies ... 23.58 kJ/mol of atoms

=====

A plane-wave DFT calculation with GGA-PBE was carried out for a relaxed Th8Ir2Os crystal.

Geometry as POSCAR:
```
Th8Ir2Os
1.0
4.067 -6.791 0.000
4.067 6.791 0.000
-2.606 0.000 5.733
Th Ir Os
8 2 1
direct
0.000 0.000 0.000
0.165 0.566 0.193
0.245 0.988 0.571
0.459 0.709 0.818
0.566 0.165 0.193
0.702 0.702 0.374
0.709 0.459 0.818
0.988 0.245 0.571
0.051 0.651 0.700
0.651 0.051 0.700
0.348 0.348 0.969
```

Values from the calculation:
ΔE_f ... -271 meV/atom

=====

A plane-wave DFT calculation with GGA-PBE was carried out for a relaxed NaGe2I2 crystal.

Geometry as POSCAR:
```
NaGe2I2
1.0
8.231 0.000 0.000
0.000 8.231 0.000
0.000 0.000 4.667
Na Ge I
2 4 4
direct
0.000 0.000 0.000
0.500 0.500 0.000
0.107 0.393 0.000
0.393 0.893 0.000
0.607 0.107 0.000
0.893 0.607 0.000
0.165 0.665 0.500
0.335 0.165 0.500
0.665 0.835 0.500
0.835 0.335 0.500
```

Values from the calculation:
Formation energy from raw total energies ... 2.93 kJ/mol of atoms

=====

A plane-wave DFT calculation with GGA-PBE was carried out for a relaxed Nd6In2Rh crystal.

Geometry as POSCAR:
```
Nd6In2Rh
1.0
-2.733 3.684 7.481
2.733 -3.684 7.481
2.733 3.684 -7.481
Nd In Rh
6 2 1
direct
0.096 0.349 0.747
0.226 0.000 0.226
0.399 0.651 0.747
0.601 0.349 0.253
0.774 0.000 0.774
0.904 0.651 0.253
0.330 0.830 0.500
0.670 0.170 0.500
0.000 0.500 0.500
```

Values from the calculation:
ΔE_f ... -212 meV/atom